[1]
NaYMgAg2 | meta-GGA SCAN | PBEsol geometry

Calculated values
total energy: -19.422 eV/atom
V: 27.94 A^3/atom
total magnetization: 0.0 μB per formula unit
theoretical density: 4.184 g cm⁻³

Cell and atoms, written as CIF:
```
data_NaYMgAg2
_chemical_formula_sum 'Na1 Y1 Mg1 Ag2'
_symmetry_space_group_name_H-M 'P 4/m m m'
_symmetry_Int_Tables_number 123
_symmetry_space_group_name_Hall '-P 4 2'
_cell_length_a 5.028
_cell_length_b 5.028
_cell_length_c 5.525
_cell_angle_alpha 90.00
_cell_angle_beta 90.00
_cell_angle_gamma 90.00
loop_
_atom_site_label
_atom_site_type_symbol
_atom_site_fract_x
_atom_site_fract_y
_atom_site_fract_z
_atom_site_occupancy
Na1 Na 0.000 0.000 0.000 1
Y1 Y 0.500 0.500 0.000 1
Mg1 Mg 0.500 0.500 0.500 1
Ag1 Ag 0.000 0.500 0.500 1
```


[2]
Mg3NbAg | meta-GGA SCAN | PBEsol geometry

Calculated values
total energy: -15.224 eV/atom
V: 22.91 A^3/atom
total magnetization: 2.0 μB per formula unit
theoretical density: 3.968 g cm⁻³

Cell and atoms, written as CIF:
```
data_Mg3NbAg
_chemical_formula_sum 'Mg3 Nb1 Ag1'
_symmetry_space_group_name_H-M 'P m -3 m'
_symmetry_Int_Tables_number 221
_symmetry_space_group_name_Hall '-P 4 2 3'
_cell_length_a 4.856
_cell_length_b 4.856
_cell_length_c 4.856
_cell_angle_alpha 90.00
_cell_angle_beta 90.00
_cell_angle_gamma 90.00
loop_
_atom_site_label
_atom_site_type_symbol
_atom_site_fract_x
_atom_site_fract_y
_atom_site_fract_z
_atom_site_occupancy
Mg1 Mg 0.000 0.000 0.500 1
Nb1 Nb 0.500 0.500 0.500 1
Ag1 Ag 0.000 0.000 0.000 1
```


[3]
Mg2NbAg2 | meta-GGA SCAN | PBEsol geometry

Calculated values
total energy: -20.769 eV/atom
V: 18.91 A^3/atom
total magnetization: 1.9 μB per formula unit
theoretical density: 6.273 g cm⁻³

Cell and atoms, written as CIF:
```
data_Mg2NbAg2
_chemical_formula_sum 'Mg4 Nb2 Ag4'
_symmetry_space_group_name_H-M 'I 4/m m m'
_symmetry_Int_Tables_number 139
_symmetry_space_group_name_Hall '-I 4 2'
_cell_length_a 3.907
_cell_length_b 3.907
_cell_length_c 12.390
_cell_angle_alpha 90.00
_cell_angle_beta 90.00
_cell_angle_gamma 90.00
loop_
_atom_site_label
_atom_site_type_symbol
_atom_site_fract_x
_atom_site_fract_y
_atom_site_fract_z
_atom_site_occupancy
Mg1 Mg 0.000 0.500 0.250 1
Nb1 Nb 0.000 0.000 0.000 1
Ag1 Ag 0.000 0.000 0.398 1
```


[4]
NdMgAg | meta-GGA SCAN | PBEsol geometry

Calculated values
total energy: -26.978 eV/atom
V: 24.17 A^3/atom
total magnetization: 0.0 μB per formula unit
theoretical density: 6.331 g cm⁻³

Cell and atoms, written as CIF:
```
data_NdMgAg
_chemical_formula_sum 'Nd3 Mg3 Ag3'
_symmetry_space_group_name_H-M 'P -6 2 m'
_symmetry_Int_Tables_number 189
_symmetry_space_group_name_Hall 'P -6 -2'
_cell_length_a 7.7089
_cell_length_b 7.7089
_cell_length_c 4.2260
_cell_angle_alpha 90.00
_cell_angle_beta 90.00
_cell_angle_gamma 120.00
loop_
_atom_site_label
_atom_site_type_symbol
_atom_site_fract_x
_atom_site_fract_y
_atom_site_fract_z
_atom_site_occupancy
Nd1 Nd 0.0000 0.5844 0.0000 1
Mg1 Mg 0.0000 0.2417 0.5000 1
Ag1 Ag 0.0000 0.0000 0.0000 1
Ag2 Ag 0.3333 0.6667 0.5000 1
```


[5]
MgNi2Ag | meta-GGA SCAN | PBEsol geometry

Calculated values
total energy: -16.968 eV/atom
V: 13.47 A^3/atom
total magnetization: 0.0 μB per formula unit
theoretical density: 7.690 g cm⁻³

Cell and atoms, written as CIF:
```
data_MgNi2Ag
_chemical_formula_sum 'Mg3 Ni6 Ag3'
_symmetry_space_group_name_H-M 'R -3 m'
_symmetry_Int_Tables_number 166
_symmetry_space_group_name_Hall '-R 3 2"'
_cell_length_a 2.7162
_cell_length_b 2.7162
_cell_length_c 25.3041
_cell_angle_alpha 90.00
_cell_angle_beta 90.00
_cell_angle_gamma 120.00
loop_
_atom_site_label
_atom_site_type_symbol
_atom_site_fract_x
_atom_site_fract_y
_atom_site_fract_z
_atom_site_occupancy
Mg1 Mg 0.0000 0.0000 0.0000 1
Ni1 Ni 0.0000 0.0000 0.2521 1
Ag1 Ag 0.0000 0.0000 0.5000 1
```


[6]
MgNi2Ag | meta-GGA SCAN | PBEsol geometry

Calculated values
total energy: -17.093 eV/atom
V: 13.26 A^3/atom
total magnetization: 0.6 μB per formula unit
theoretical density: 7.814 g cm⁻³

Cell and atoms, written as CIF:
```
data_MgNi2Ag
_chemical_formula_sum 'Mg2 Ni4 Ag2'
_symmetry_space_group_name_H-M 'I -4 m 2'
_symmetry_Int_Tables_number 119
_symmetry_space_group_name_Hall 'I -4 -2'
_cell_length_a 3.796
_cell_length_b 3.796
_cell_length_c 7.362
_cell_angle_alpha 90.00
_cell_angle_beta 90.00
_cell_angle_gamma 90.00
loop_
_atom_site_label
_atom_site_type_symbol
_atom_site_fract_x
_atom_site_fract_y
_atom_site_fract_z
_atom_site_occupancy
Mg1 Mg 0.000 0.000 0.000 1
Ni1 Ni 0.000 0.000 0.500 1
Ni2 Ni 0.000 0.500 0.250 1
Ag1 Ag 0.000 0.500 0.750 1
```


[7]
MgNi2Ag | meta-GGA SCAN | PBEsol geometry

Calculated values
total energy: -17.064 eV/atom
V: 13.33 A^3/atom
total magnetization: 0.0 μB per formula unit
theoretical density: 7.770 g cm⁻³

Cell and atoms, written as CIF:
```
data_MgNi2Ag
_chemical_formula_sum 'Mg1 Ni2 Ag1'
_symmetry_space_group_name_H-M 'P m m m'
_symmetry_Int_Tables_number 47
_symmetry_space_group_name_Hall '-P 2 2'
_cell_length_a 2.751
_cell_length_b 3.600
_cell_length_c 5.386
_cell_angle_alpha 90.00
_cell_angle_beta 90.00
_cell_angle_gamma 90.00
loop_
_atom_site_label
_atom_site_type_symbol
_atom_site_fract_x
_atom_site_fract_y
_atom_site_fract_z
_atom_site_occupancy
Mg1 Mg 0.000 0.000 0.000 1
Ni1 Ni 0.500 0.500 0.247 1
Ag1 Ag 0.000 0.000 0.500 1
```


[8]
MgAg2O4 | meta-GGA SCAN | PBEsol geometry

Calculated values
V: 13.35 A^3/atom
total magnetization: 0.0 μB per formula unit
theoretical density: 5.404 g cm⁻³
E_form (uncorrected): -0.85 eV per atom
relative energy among the computed polymorphs: 3.3 kJ/mol of atoms

Cell and atoms, written as CIF:
```
data_MgAg2O4
_chemical_formula_sum 'Mg4 Ag8 O16'
_symmetry_space_group_name_H-M 'I 41/a m d'
_symmetry_Int_Tables_number 141
_cell_length_a 5.821
_cell_length_b 5.821
_cell_length_c 11.027
_cell_angle_alpha 90.00
_cell_angle_beta 90.00
_cell_angle_gamma 90.00
loop_
_symmetry_equiv_pos_as_xyz
'x,y,z'
'-x,-y,-z'
'-y+1/4,x+3/4,z+1/4'
'y+1/4,-x+3/4,-z+1/4'
'-x+1/2,-y,z+1/2'
'x+1/2,y,-z+1/2'
'y+1/4,-x+1/4,z+3/4'
'-y+1/4,x+1/4,-z+3/4'
'x,-y,-z'
'-x,y,z'
'-y+1/4,-x+1/4,-z+3/4'
'y+1/4,x+1/4,z+3/4'
'-x+1/2,y,-z+1/2'
'x+1/2,-y,z+1/2'
'y+1/4,x+3/4,-z+1/4'
'-y+1/4,-x+3/4,z+1/4'
'x+1/2,y+1/2,z+1/2'
'-x+1/2,-y+1/2,-z+1/2'
'-y+3/4,x+1/4,z+3/4'
'y+3/4,-x+1/4,-z+3/4'
'-x,-y+1/2,z'
'x,y+1/2,-z'
'y+3/4,-x+3/4,z+1/4'
'-y+3/4,x+3/4,-z+1/4'
'x+1/2,-y+1/2,-z+1/2'
'-x+1/2,y+1/2,z+1/2'
'-y+3/4,-x+3/4,-z+1/4'
'y+3/4,x+3/4,z+1/4'
'-x,y+1/2,-z'
'x,-y+1/2,z'
'y+3/4,x+1/4,-z+3/4'
'-y+3/4,-x+1/4,z+3/4'
loop_
_atom_site_label
_atom_site_type_symbol
_atom_site_fract_x
_atom_site_fract_y
_atom_site_fract_z
_atom_site_occupancy
Mg1 Mg 0.000 0.250 0.375 1
Ag1 Ag 0.000 0.000 0.000 1
O1 O 0.000 0.018 0.736 1
```